SmDy14Tm after structural relaxation. Source: Alexandria via LeMat-Bulk, functional GGA-PBE.

```
16
Lattice="7.063 -0.855 0.000 -2.792 6.545 0.000 0.000 0.000 11.445" Properties=species:S:1:pos:R:3 pbc="T T T"
Dy -2.379 6.235 0.000
Dy -0.984 2.965 0.000
Dy 4.437 3.344 2.857
Dy 5.834 0.068 8.597
Dy 4.437 3.344 8.588
Dy 0.655 1.730 5.723
Dy 2.298 0.496 2.857
Dy 5.834 0.068 2.848
Dy 0.902 3.771 8.576
Dy 0.902 3.771 2.869
Dy 2.546 2.537 0.000
Dy 2.298 0.496 8.588
Dy 1.150 5.807 0.000
Dy 2.794 4.578 5.723
Tm -0.739 5.004 5.723
Sm 4.190 1.302 5.723
```

V ... 502 Å³ per cell
VASP energy ... -0.16901 Ha/atom
Density of states at the Fermi level ... 18.7 states/eV per cell
Size of the total moment ... 0.00 μB/f.u.